Entry 1:
DFT (PBE) results for a relaxed structure of TiP3O.

Cell and atoms, written as CIF:
```
data_TiP3O
_cell_length_a 4.098
_cell_length_b 4.098
_cell_length_c 4.098
_cell_angle_alpha 90.00
_cell_angle_beta 90.00
_cell_angle_gamma 90.00
_space_group_name_H-M_alt 'P m -3 m'
_space_group_IT_number 221
_space_group_name_Hall '-P 4 2 3'
loop_
_atom_site_label
_atom_site_type_symbol
_atom_site_fract_x
_atom_site_fract_y
_atom_site_fract_z
Ti1 Ti 0.000 0.000 0.000
P1 P 0.000 0.500 0.500
O1 O 0.500 0.500 0.500
```

Summary:
The calculation puts the total magnetic moment at 0.0 μB/cell. The volume is 13.76 A^3/atom. As for the final energy: -0.4215 Ry per atom. Its polymorph energy (0 for the lowest one) is 0.000 eV per atom. Its formation energy from raw total energies is 0.08 eV per atom.

***

Entry 2:
DFT (PBE) results for a relaxed structure of Pm6MgGe5.

Cell and atoms, written as CIF:
```
data_Pm6MgGe5
_cell_length_a 7.580
_cell_length_b 13.238
_cell_length_c 7.249
_cell_angle_alpha 90.00
_cell_angle_beta 110.76
_cell_angle_gamma 90.00
_space_group_name_H-M_alt 'C 1 2/m 1'
_space_group_IT_number 12
loop_
_space_group_symop_operation_xyz
'x,y,z'
'-x,-y,-z'
'-x,y,-z'
'x,-y,z'
'x+1/2,y+1/2,z'
'-x+1/2,-y+1/2,-z'
'-x+1/2,y+1/2,-z'
'x+1/2,-y+1/2,z'
loop_
_atom_site_label
_atom_site_type_symbol
_atom_site_fract_x
_atom_site_fract_y
_atom_site_fract_z
Pm1 Pm 0.230 0.000 0.259
Pm2 Pm 0.232 0.179 0.732
Mg1 Mg 0.000 0.500 0.000
Ge1 Ge 0.000 0.000 0.500
Ge2 Ge 0.000 0.168 0.000
Ge3 Ge 0.000 0.347 0.500
```

Summary:
The calculation puts the total magnetic moment at 0.0 μB/cell. The calculation puts the formation energy at -0.563 eV per atom. The volume is 28.34 A^3/atom. As for the final energy: -0.3671 Ry per atom.

***

Entry 3:
DFT (PBE) results for a relaxed structure of BaTaTc2.

Cell and atoms, written as CIF:
```
data_BaTaTc2
_cell_length_a 4.868
_cell_length_b 4.868
_cell_length_c 3.291
_cell_angle_alpha 90.00
_cell_angle_beta 90.00
_cell_angle_gamma 90.00
_space_group_name_H-M_alt 'P 4/m m m'
_space_group_IT_number 123
_space_group_name_Hall '-P 4 2'
loop_
_atom_site_label
_atom_site_type_symbol
_atom_site_fract_x
_atom_site_fract_y
_atom_site_fract_z
Ba1 Ba 0.000 0.000 0.000
Ta1 Ta 0.500 0.500 0.000
Tc1 Tc 0.000 0.500 0.500
```

Summary:
The calculation puts the total magnetic moment at 0.0 μB/cell. The calculation puts the formation energy at 1.031 eV per atom. The volume is 19.49 A^3/atom. As for the final energy: -0.5583 Ry per atom. Its polymorph energy (0 for the lowest one) is 0.583 eV per atom.

***

Entry 4:
DFT (PBE) results for a relaxed structure of PaPdC.

Cell and atoms, written as CIF:
```
data_PaPdC
_cell_length_a 3.8281
_cell_length_b 3.8281
_cell_length_c 3.8429
_cell_angle_alpha 90.00
_cell_angle_beta 90.00
_cell_angle_gamma 120.00
_space_group_name_H-M_alt 'P 3 m 1'
_space_group_IT_number 156
loop_
_space_group_symop_operation_xyz
'x,y,z'
'-y,x-y,z'
'-x+y,-x,z'
'-y,-x,z'
'-x+y,y,z'
'x,x-y,z'
loop_
_atom_site_label
_atom_site_type_symbol
_atom_site_fract_x
_atom_site_fract_y
_atom_site_fract_z
Pa1 Pa 0.0000 0.0000 0.0000
Pd1 Pd 0.6667 0.3333 0.4923
C1 C 0.3333 0.6667 0.6963
```

Summary:
The calculation puts the total magnetic moment at 0.0 μB/cell. The calculation puts the formation energy at -0.062 eV per atom. The volume is 16.26 A^3/atom. As for the final energy: -0.5904 Ry per atom. Its polymorph energy (0 for the lowest one) is 0.172 eV per atom.

***

Entry 5:
DFT (PBE) results for a relaxed structure of W2AuSe.

Cell and atoms, written as CIF:
```
data_W2AuSe
_cell_length_a 2.993
_cell_length_b 4.661
_cell_length_c 9.646
_cell_angle_alpha 90.00
_cell_angle_beta 90.00
_cell_angle_gamma 90.00
_space_group_name_H-M_alt 'I m m 2'
_space_group_IT_number 44
loop_
_space_group_symop_operation_xyz
'x,y,z'
'-x,-y,z'
'-x,y,z'
'x,-y,z'
'x+1/2,y+1/2,z+1/2'
'-x+1/2,-y+1/2,z+1/2'
'-x+1/2,y+1/2,z+1/2'
'x+1/2,-y+1/2,z+1/2'
loop_
_atom_site_label
_atom_site_type_symbol
_atom_site_fract_x
_atom_site_fract_y
_atom_site_fract_z
W1 W 0.000 0.000 0.000
W2 W 0.000 0.500 0.242
Au1 Au 0.000 0.500 0.770
Se1 Se 0.000 0.000 0.532
```

Summary:
The calculation puts the total magnetic moment at 0.0 μB/cell. The volume is 16.82 A^3/atom. As for the final energy: -0.5575 Ry per atom. Its formation energy from raw total energies is 0.58 eV per atom.

***

Entry 6:
DFT (PBE) results for a relaxed structure of LiPr3Te2Cl6.

Cell and atoms, written as CIF:
```
data_LiPr3Te2Cl6
_cell_length_a 14.276
_cell_length_b 8.612
_cell_length_c 6.644
_cell_angle_alpha 90.00
_cell_angle_beta 95.66
_cell_angle_gamma 90.00
_space_group_name_H-M_alt 'C 1 2/m 1'
_space_group_IT_number 12
loop_
_space_group_symop_operation_xyz
'x,y,z'
'-x,-y,-z'
'-x,y,-z'
'x,-y,z'
'x+1/2,y+1/2,z'
'-x+1/2,-y+1/2,-z'
'-x+1/2,y+1/2,-z'
'x+1/2,-y+1/2,z'
loop_
_atom_site_label
_atom_site_type_symbol
_atom_site_fract_x
_atom_site_fract_y
_atom_site_fract_z
Li1 Li 0.000 0.000 0.000
Pr1 Pr 0.000 0.500 0.500
Pr2 Pr 0.250 0.250 0.000
Te1 Te 0.189 0.500 0.299
Cl1 Cl 0.073 0.263 0.769
Cl2 Cl 0.158 0.000 0.179
```

Summary:
The calculation puts the total magnetic moment at 0.0 μB/cell. The volume is 33.87 A^3/atom. As for the final energy: -0.3431 Ry per atom. Its formation energy from raw total energies is -1.87 eV per atom.